Entry 1:
Ta3GaPt | GGA-PBE | optimized geometry

```
Ta3GaPt
1.0
-1.8749 3.5381 -2.5247
-4.3014 -1.1157 1.6309
0.6240 2.9401 3.6570
Ga Pt Ta
1 1 3
Direct
0.0000 0.0000 0.0000
0.5000 0.5000 0.5000
0.0000 0.5000 0.0000
0.0000 0.0000 0.5000
0.5000 0.0000 0.0000
```

Calculated values
For the formation energy, the calculation gives 1137 meV/atom. The calculation puts the energy above the most stable polymorph in this dataset at 0.0 meV per atom. Its space group is Pm-3m. The total energy is -7.79 eV/atom.

Entry 2:
TaGa2Pt | GGA-PBE | optimized geometry

```
TaGa2Pt
1.0
-1.2553 1.8524 6.7810
-6.6171 -2.6357 -0.5049
-3.0189 -2.8561 3.9810
Ga Pt Ta
4 2 2
Direct
0.6486 0.1250 0.2500
0.1014 0.6250 0.2500
0.3750 0.3514 0.7500
0.8750 0.8986 0.7500
0.0000 0.0000 0.0000
0.7500 0.2500 0.5000
0.5000 0.5000 0.0000
0.2500 0.7500 0.5000
```

Calculated values
For the formation energy, the calculation gives -65 meV/atom. Its space group is I-42d. The total energy is -6.05 eV/atom.

Entry 3:
TaGa2Pt | GGA-PBE | optimized geometry

```
TaGa2Pt
1.0
2.8847 0.0000 0.0000
1.4423 2.4982 0.0000
1.4423 0.8327 9.5845
Ga Pt Ta
2 1 1
Direct
0.0869 0.0869 0.7393
0.9131 0.9131 0.2607
0.0000 0.0000 0.0000
0.5000 0.5000 0.5000
```

Calculated values
For the formation energy, the calculation gives -77 meV/atom. Its space group is R-3m. The total energy is -6.06 eV/atom.

Entry 4:
Tb2TaGa3Pt4 | GGA-PBE | optimized geometry

```
Tb2TaGa3Pt4
1.0
-3.9018 -0.3217 -1.3006
-1.2983 -0.0819 3.9150
-0.8984 11.1563 -0.0644
Tb Ta Ga Pt
2 1 3 4
Direct
0.5000 0.0000 0.2389
0.0000 0.5000 0.7611
0.5000 0.5000 0.5000
0.0000 0.0000 0.5000
0.5000 0.0000 0.8654
0.0000 0.5000 0.1346
0.5000 0.5000 0.0000
0.0000 0.0000 0.0000
0.5000 0.0000 0.6436
0.0000 0.5000 0.3564
```

Calculated values
For the formation energy, the calculation gives -875 meV/atom. Its space group is P-4m2. The total energy is -6.31 eV/atom.

Entry 5:
TaGaTcPt2 | GGA-PBE | optimized geometry

```
TaGaTcPt2
1.0
4.8474 0.0000 0.0000
0.0000 4.9348 0.0000
0.0000 0.0000 4.8474
Ga Tc Pt Ta
1 1 2 1
Direct
0.0000 0.5000 0.0000
0.5000 0.5000 0.5000
0.0000 0.0000 0.5000
0.5000 0.0000 0.0000
0.0000 0.0000 0.0000
```

Calculated values
For the formation energy, the calculation gives 1268 meV/atom. Its space group is P4/mmm. The total energy is -6.20 eV/atom.

Entry 6:
TaGaPtW2 | GGA-PBE | optimized geometry

```
TaGaPtW2
1.0
4.8392 0.0000 0.0000
0.0000 4.9207 0.0000
0.0000 0.0000 4.8392
Ga W Pt Ta
1 2 1 1
Direct
0.5000 0.5000 0.5000
0.0000 0.0000 0.5000
0.5000 0.0000 0.0000
0.0000 0.5000 0.0000
0.0000 0.0000 0.0000
```

Calculated values
For the formation energy, the calculation gives 1949 meV/atom. Its space group is P4/mmm. The total energy is -7.42 eV/atom.

Entry 7:
YTaGaPt2 | GGA-PBE | optimized geometry

```
YTaGaPt2
1.0
4.6447 0.0000 0.0000
0.0000 5.0425 0.0000
0.0000 0.0000 4.6447
Y Ga Pt Ta
1 1 2 1
Direct
0.0000 0.5000 0.0000
0.0000 0.0000 0.0000
0.0000 0.0000 0.5000
0.5000 0.0000 0.0000
0.5000 0.5000 0.5000
```

Calculated values
For the formation energy, the calculation gives 582 meV/atom. Its space group is P4/mmm. The total energy is -6.10 eV/atom.

Entry 8:
Y2TaGa3Pt4 | GGA-PBE | optimized geometry

```
Y2TaGa3Pt4
1.0
-3.6489 1.2526 -1.4480
-0.8727 -3.8620 -1.1416
-4.6319 -1.9140 10.0160
Y Ta Ga Pt
2 1 3 4
Direct
0.5000 0.0000 0.2385
0.0000 0.5000 0.7615
0.5000 0.5000 0.5000
0.0000 0.0000 0.5000
0.5000 0.0000 0.8654
0.0000 0.5000 0.1346
0.5000 0.5000 0.0000
0.0000 0.0000 0.0000
0.5000 0.0000 0.6437
0.0000 0.5000 0.3563
```

Calculated values
For the formation energy, the calculation gives -878 meV/atom. Its space group is P-4m2. The total energy is -6.68 eV/atom.

Entry 9:
Tb2Ga12Pt | GGA-PBE | optimized geometry

```
Tb2Ga12Pt
1.0
6.1340 0.0000 0.0000
0.0000 6.1340 0.0000
0.0000 0.0000 15.3600
Tb Ga Pt
4 24 2
Direct
0.5000 0.0000 0.2419
0.0000 0.5000 0.2419
0.0000 0.5000 0.7581
0.5000 0.0000 0.7581
0.5000 0.5000 0.8104
0.0000 0.0000 0.8104
0.7502 0.7498 0.9090
0.2502 0.7502 0.9090
0.0000 0.0000 0.3480
0.2498 0.7498 0.0910
0.8348 0.3348 0.5688
0.5000 0.5000 0.3480
0.2498 0.2502 0.9090
0.7498 0.7502 0.0910
0.3348 0.1652 0.5688
0.6652 0.1652 0.4312
0.0000 0.0000 0.6520
0.1652 0.3348 0.4312
0.2502 0.2498 0.0910
0.8348 0.6652 0.4312
0.6652 0.8348 0.5688
0.0000 0.0000 0.1896
0.1652 0.6652 0.5688
0.5000 0.5000 0.6520
0.7498 0.2498 0.9090
0.5000 0.5000 0.1896
0.3348 0.8348 0.4312
0.7502 0.2502 0.0910
0.5000 0.0000 0.0000
0.0000 0.5000 0.0000
```

Calculated values
For the formation energy, the calculation gives -415 meV/atom. Its space group is P4/nbm. The total energy is -3.86 eV/atom.

Entry 10:
TbGa4Pt8 | GGA-PBE | optimized geometry

```
TbGa4Pt8
1.0
-3.5034 1.8460 -3.7552
-6.0894 -3.0793 0.2018
-3.8023 5.2427 2.1589
Tb Ga Pt
1 4 8
Direct
0.0000 0.0000 0.0000
0.0000 0.0000 0.5000
0.5000 0.0000 0.5000
0.0000 0.5000 0.0000
0.5000 0.5000 0.0000
0.0000 0.3325 0.6675
0.0000 0.6675 0.3325
0.3325 0.6675 0.6675
0.6675 0.3325 0.3325
0.5000 0.7751 0.2249
0.5000 0.2249 0.7751
0.2751 0.2249 0.2249
0.7249 0.7751 0.7751
```

Calculated values
For the formation energy, the calculation gives -661 meV/atom. Its space group is I4/mmm. The total energy is -5.67 eV/atom.

Entry 11:
TbGa4Pt2 | GGA-PBE | optimized geometry

```
TbGa4Pt2
1.0
4.1444 0.0000 0.0000
0.0000 7.8993 0.0000
0.0000 0.0000 7.8993
Tb Ga Pt
2 8 4
Direct
0.5000 0.0000 0.0000
0.0000 0.5000 0.5000
0.0000 0.0822 0.3228
0.0000 0.9178 0.6772
0.5000 0.1772 0.5822
0.5000 0.8228 0.4178
0.5000 0.4178 0.8228
0.5000 0.5822 0.1772
0.0000 0.3228 0.0822
0.0000 0.6772 0.9178
0.0000 0.2186 0.7814
0.0000 0.7814 0.2186
0.5000 0.7186 0.7186
0.5000 0.2814 0.2814
```

Calculated values
For the formation energy, the calculation gives -689 meV/atom. The calculation puts the energy above the most stable polymorph in this dataset at 129.5 meV per atom. Its space group is P4_2/mnm. The total energy is -4.81 eV/atom.

Entry 12:
Tb3Ga2Pt | GGA-PBE | optimized geometry

```
Tb3Ga2Pt
1.0
-0.9483 0.7227 -4.2312
-6.8885 -8.7349 0.0519
-8.9389 7.0685 3.2107
Tb Ga Pt
12 8 4
Direct
0.2500 0.3728 0.0493
0.7500 0.6272 0.9507
0.7500 0.8728 0.4507
0.2500 0.1272 0.5493
0.2500 0.6934 0.2246
0.7500 0.3066 0.7754
0.7500 0.1934 0.2754
0.2500 0.8066 0.7246
0.2500 0.4387 0.3805
0.7500 0.5613 0.6195
0.7500 0.9387 0.1195
0.2500 0.0613 0.8805
0.2500 0.6954 0.4879
0.7500 0.3046 0.5121
0.7500 0.1954 0.0121
0.2500 0.8046 0.9879
0.2500 0.9879 0.3115
0.7500 0.0121 0.6885
0.7500 0.4879 0.1885
0.2500 0.5121 0.8115
0.2500 0.1199 0.1243
0.7500 0.8801 0.8757
0.7500 0.6199 0.3757
0.2500 0.3801 0.6243
```

Calculated values
For the formation energy, the calculation gives -790 meV/atom. Its space group is Pnma. The total energy is -5.12 eV/atom.

Entry 13:
Tb3Ga4Pt4 | GGA-PBE | optimized geometry

```
Tb3Ga4Pt4
1.0
-1.5698 -3.4494 -1.6440
0.0987 3.0631 -6.5211
7.3560 -2.3077 3.0081
Tb Ga Pt
3 4 4
Direct
0.1241 0.1241 0.2481
0.8759 0.8759 0.7519
0.0000 0.5000 0.0000
0.3269 0.1266 0.6538
0.6731 0.4729 0.3462
0.6731 0.8734 0.3462
0.3269 0.5271 0.6538
0.2151 0.7151 0.4302
0.7849 0.2849 0.5698
0.5000 0.7995 0.0000
0.5000 0.2005 0.0000
```

Calculated values
For the formation energy, the calculation gives -1046 meV/atom. The calculation puts the energy above the most stable polymorph in this dataset at 0.0 meV per atom. Its space group is Immm. The total energy is -5.61 eV/atom.

Entry 14:
Tb2Ga3Pt4 | GGA-PBE | optimized geometry

```
Tb2Ga3Pt4
1.0
5.6201 0.0000 0.0000
0.0000 7.6281 0.0000
-2.8101 0.0000 7.6687
Tb Ga Pt
4 6 8
Direct
0.1071 0.5913 0.2141
0.8929 0.4087 0.7859
0.3929 0.0913 0.7859
0.6071 0.9087 0.2141
0.0000 0.0000 0.0000
0.5000 0.5000 0.0000
0.5197 0.7500 0.5393
0.9803 0.2500 0.4607
0.4803 0.2500 0.4607
0.0197 0.7500 0.5393
0.6906 0.7500 0.8812
0.8094 0.2500 0.1188
0.3094 0.2500 0.1188
0.1906 0.7500 0.8812
0.1811 0.9753 0.3623
0.8189 0.0247 0.6377
0.3189 0.4753 0.6377
0.6811 0.5247 0.3623
```

Calculated values
For the formation energy, the calculation gives -1029 meV/atom. Its space group is Cmce. The total energy is -5.75 eV/atom.

Entry 15:
TbGa6Pt12 | GGA-PBE | optimized geometry

```
TbGa6Pt12
1.0
-5.4859 -2.4288 4.1435
5.1674 -5.1409 0.1796
2.7526 5.8266 3.4113
Tb Ga Pt
1 6 12
Direct
0.0000 0.0000 0.0000
0.6971 0.2744 0.2744
0.2744 0.2744 0.6971
0.2744 0.6971 0.2744
0.7256 0.7256 0.3029
0.3029 0.7256 0.7256
0.7256 0.3029 0.7256
0.8755 0.1245 0.5000
0.8571 0.6189 0.6189
0.6189 0.6189 0.8571
0.3811 0.1429 0.3811
0.3811 0.3811 0.1429
0.1429 0.3811 0.3811
0.1245 0.5000 0.8755
0.5000 0.8755 0.1245
0.1245 0.8755 0.5000
0.8755 0.5000 0.1245
0.5000 0.1245 0.8755
0.6189 0.8571 0.6189
```

Calculated values
For the formation energy, the calculation gives -564 meV/atom. Its space group is R-3m. The total energy is -5.58 eV/atom.

Entry 16:
TbGaPt3 | GGA-PBE | optimized geometry

```
TbGaPt3
1.0
7.5453 -0.0001 -0.0005
0.0000 4.4614 0.0000
-0.0005 0.0000 5.6925
Tb Ga Pt
2 2 6
Direct
0.4342 0.2553 0.2991
0.9342 0.0975 0.7991
0.8575 0.5113 0.2995
0.3575 0.8415 0.7995
0.5363 0.3043 0.7991
0.6470 0.7958 0.0529
0.1470 0.5569 0.5529
0.0363 0.0485 0.2991
0.1468 0.5569 0.0455
0.6468 0.7959 0.5455
```

Calculated values
For the formation energy, the calculation gives -889 meV/atom. The calculation puts the energy above the most stable polymorph in this dataset at 0.0 meV per atom. Its space group is Pmn2_1. The total energy is -6.05 eV/atom.

Entry 17:
Tb2Ga12Pt7 | GGA-PBE | optimized geometry

```
Tb2Ga12Pt7
1.0
-1.1257 -4.0147 0.0194
5.5733 -1.5230 8.2284
-9.6418 2.7079 0.8892
Tb Ga Pt
2 12 7
Direct
0.5000 0.0000 0.0000
0.0000 0.6667 0.3333
0.5000 0.9276 0.6172
0.5000 0.6896 0.0724
0.5000 0.3828 0.3104
0.5000 0.2539 0.7999
0.5000 0.5460 0.7461
0.5000 0.2001 0.4540
0.0000 0.0354 0.5125
0.0000 0.4771 0.9646
0.0000 0.4875 0.5229
0.0000 0.8096 0.7251
0.0000 0.9155 0.1904
0.0000 0.2749 0.0845
0.0000 0.3333 0.6667
0.0000 0.0908 0.7936
0.0000 0.7027 0.9092
0.0000 0.2064 0.2973
0.5000 0.6555 0.5614
0.5000 0.9059 0.3445
0.5000 0.4386 0.0941
```

Calculated values
For the formation energy, the calculation gives -725 meV/atom. Its space group is P-6. The total energy is -4.91 eV/atom.

Entry 18:
TbGa2Pt7 | GGA-PBE | optimized geometry

```
TbGa2Pt7
1.0
4.4462 0.0000 0.0000
0.0000 7.2468 -0.2022
0.0000 -3.3784 6.4143
Tb Ga Pt
1 2 7
Direct
0.0000 0.0000 0.0000
0.5000 0.6988 0.3012
0.5000 0.3012 0.6988
0.0000 0.7823 0.2177
0.0000 0.2177 0.7823
0.5000 0.0763 0.3026
0.5000 0.9237 0.6974
0.5000 0.3026 0.0763
0.5000 0.6974 0.9237
0.5000 0.5000 0.5000
```

Calculated values
For the formation energy, the calculation gives -298 meV/atom. Its space group is Cmmm. The total energy is -5.59 eV/atom.

Entry 19:
Tb2Ga4Pt5 | GGA-PBE | optimized geometry

```
Tb2Ga4Pt5
1.0
5.5995 0.0000 0.0000
2.7998 4.7312 0.0000
2.7998 0.0000 7.8543
Tb Ga Pt
2 4 5
Direct
0.8767 0.0000 0.2465
0.1233 0.0000 0.7535
0.4752 0.3114 0.7383
0.5248 0.6886 0.2617
0.2134 0.3114 0.2617
0.7866 0.6886 0.7383
0.5000 0.0000 0.0000
0.0000 0.5000 0.0000
0.5000 0.5000 0.0000
0.2500 0.5000 0.5000
0.7500 0.5000 0.5000
```

Calculated values
For the formation energy, the calculation gives -862 meV/atom. Its space group is Fmmm. The total energy is -5.55 eV/atom.

Entry 20:
Tb2Ga5Pt | GGA-PBE | optimized geometry

```
Tb2Ga5Pt
1.0
-3.9278 4.7387 0.1417
-0.5406 -4.8336 3.7745
5.7734 0.4502 2.0900
Tb Ga Pt
2 5 1
Direct
0.5000 0.2748 0.7748
0.5000 0.7748 0.2748
0.4519 0.7496 0.7496
0.0000 0.7496 0.2977
0.0000 0.2977 0.7496
0.5481 0.2977 0.2977
0.0000 0.1999 0.1999
0.0000 0.8778 0.8778
```

Calculated values
For the formation energy, the calculation gives -607 meV/atom. Its space group is I4mm. The total energy is -4.41 eV/atom.